# 1
Crystalline Zn2AuBr at its relaxed geometry. Source: the Alexandria database, functional PBE-GGA.

The structure in POSCAR format:
```
Zn2AuBr
1.0
3.864 0.000 0.000
0.000 3.623 0.000
-0.024 0.000 6.774
Zn Au Br
2 1 1
direct
0.000 0.000 0.000
0.002 0.500 0.317
0.502 0.000 0.259
0.998 0.500 0.743
```

Properties
**Calculated volume**: 23.71 Å³/atom
**Raw total energy**: -8.4 eV/f.u.
**Energy relative to the lowest polymorph listed for this composition**: 0.045 eV per formula unit

# 2
Crystalline ZnAu2Br at its relaxed geometry. Source: the Alexandria database, functional PBE-GGA.

The structure in POSCAR format:
```
ZnAu2Br
1.0
3.905 -2.194 0.000
3.905 2.194 0.000
-0.061 0.000 5.920
Zn Au Br
1 2 1
direct
0.000 0.000 0.000
0.327 0.327 0.108
0.673 0.673 0.892
0.500 0.500 0.500
```

Properties
**Calculated volume**: 25.36 Å³/atom
**Raw total energy**: -9.8 eV/f.u.
**Energy relative to the lowest polymorph listed for this composition**: 0.542 eV per formula unit

# 3
Crystalline ZnAu2Br at its relaxed geometry. Source: the Alexandria database, functional PBE-GGA.

The structure in POSCAR format:
```
ZnAu2Br
1.0
-1.889 1.889 6.404
1.889 -1.889 6.404
1.889 1.889 -6.404
Zn Au Br
1 2 1
direct
0.000 0.000 0.000
0.250 0.750 0.500
0.500 0.500 0.000
0.750 0.250 0.500
```

Properties
**Calculated volume**: 22.84 Å³/atom
**Raw total energy**: -8.7 eV/f.u.
**Energy relative to the lowest polymorph listed for this composition**: 1.563 eV per formula unit

# 4
Crystalline ZnAuBr2 at its relaxed geometry. Source: the Alexandria database, functional PBE-GGA.

The structure in POSCAR format:
```
ZnAuBr2
1.0
1.819 -3.896 0.000
1.819 3.896 0.000
0.000 0.000 9.117
Zn Au Br
1 1 2
direct
0.000 0.000 0.000
0.500 0.500 0.800
0.000 0.000 0.594
0.500 0.500 0.186
```

Properties
**Calculated volume**: 32.31 Å³/atom
**Raw total energy**: -8.7 eV/f.u.
**Energy relative to the lowest polymorph listed for this composition**: 0.312 eV per formula unit

# 5
Crystalline ZnAu2Br at its relaxed geometry. Source: the Alexandria database, functional PBE-GGA.

The structure in POSCAR format:
```
ZnAu2Br
1.0
1.687 0.974 8.980
-1.687 0.974 8.980
0.000 -1.949 8.980
Zn Au Br
1 2 1
direct
0.000 0.000 0.000
0.478 0.478 0.478
0.735 0.735 0.735
0.271 0.271 0.271
```

Properties
**Calculated volume**: 22.15 Å³/atom
**Raw total energy**: -9.6 eV/f.u.
**Energy relative to the lowest polymorph listed for this composition**: 0.746 eV per formula unit

# 6
Crystalline Zn2AuBr at its relaxed geometry. Source: the Alexandria database, functional PBE-GGA.

The structure in POSCAR format:
```
Zn2AuBr
1.0
-2.288 2.288 3.803
2.288 -2.288 3.803
2.288 2.288 -3.803
Zn Au Br
2 1 1
direct
0.250 0.750 0.500
0.750 0.250 0.500
0.000 0.000 0.000
0.500 0.500 0.000
```

Properties
**Calculated volume**: 19.91 Å³/atom
**Raw total energy**: -6.5 eV/f.u.
**Energy relative to the lowest polymorph listed for this composition**: 1.989 eV per formula unit

# 7
Crystalline ZnAu2Br at its relaxed geometry. Source: the Alexandria database, functional PBE-GGA.

The structure in POSCAR format:
```
ZnAu2Br
1.0
-3.868 3.868 2.819
3.868 -3.868 2.819
3.868 3.868 -2.819
Zn Au Br
2 4 2
direct
0.000 0.000 0.000
0.750 0.250 0.500
0.092 0.625 0.967
0.375 0.342 0.467
0.658 0.125 0.033
0.875 0.908 0.533
0.250 0.750 0.500
0.500 0.500 0.000
```

Properties
**Calculated volume**: 21.08 Å³/atom
**Raw total energy**: -8.9 eV/f.u.
**Energy relative to the lowest polymorph listed for this composition**: 1.401 eV per formula unit

# 8
Crystalline Zn2AuBr at its relaxed geometry. Source: the Alexandria database, functional PBE-GGA.

The structure in POSCAR format:
```
Zn2AuBr
1.0
1.879 1.085 7.027
-1.879 1.085 7.027
0.000 -2.170 7.027
Zn Au Br
2 1 1
direct
0.238 0.238 0.238
0.762 0.762 0.762
0.500 0.500 0.500
0.000 0.000 0.000
```

Properties
**Calculated volume**: 21.49 Å³/atom
**Raw total energy**: -8.2 eV/f.u.
**Energy relative to the lowest polymorph listed for this composition**: 0.312 eV per formula unit

# 9
Crystalline ZnAu2Br at its relaxed geometry. Source: the Alexandria database, functional PBE-GGA.

The structure in POSCAR format:
```
ZnAu2Br
1.0
0.000 3.428 3.428
3.428 0.000 3.428
3.428 3.428 0.000
Zn Au Br
1 2 1
direct
0.000 0.000 0.000
0.500 0.500 0.500
0.750 0.750 0.750
0.250 0.250 0.250
```

Properties
**Calculated volume**: 20.15 Å³/atom
**Raw total energy**: -8.1 eV/f.u.
**Energy relative to the lowest polymorph listed for this composition**: 2.198 eV per formula unit

# 10
Crystalline ZnAuBr2 at its relaxed geometry. Source: the Alexandria database, functional PBE-GGA.

The structure in POSCAR format:
```
ZnAuBr2
1.0
-1.819 2.614 7.199
1.819 -2.614 7.199
1.819 2.614 -7.199
Zn Au Br
1 1 2
direct
0.000 0.000 0.000
0.128 0.628 0.500
0.618 0.618 0.000
0.883 0.383 0.500
```

Properties
**Calculated volume**: 34.22 Å³/atom
**Raw total energy**: -8.8 eV/f.u.
**Energy relative to the lowest polymorph listed for this composition**: 0.200 eV per formula unit

# 11
Crystalline ZnAu2Br at its relaxed geometry. Source: the Alexandria database, functional PBE-GGA.

The structure in POSCAR format:
```
ZnAu2Br
1.0
2.783 -4.143 0.000
2.783 4.143 0.000
0.000 0.000 3.483
Zn Au Br
1 2 1
direct
0.000 0.000 0.000
0.000 0.500 0.500
0.500 0.000 0.500
0.500 0.500 0.000
```

Properties
**Calculated volume**: 20.08 Å³/atom
**Raw total energy**: -8.4 eV/f.u.
**Energy relative to the lowest polymorph listed for this composition**: 1.907 eV per formula unit

# 12
Crystalline Zn2AuBr at its relaxed geometry. Source: the Alexandria database, functional PBE-GGA.

The structure in POSCAR format:
```
Zn2AuBr
1.0
3.322 0.000 0.000
0.000 3.322 0.000
0.000 0.000 7.120
Zn Au Br
2 1 1
direct
0.000 0.000 0.203
0.000 0.000 0.797
0.500 0.500 0.000
0.500 0.500 0.500
```

Properties
**Calculated volume**: 19.65 Å³/atom
**Raw total energy**: -7.6 eV/f.u.
**Energy relative to the lowest polymorph listed for this composition**: 0.901 eV per formula unit

# 13
Crystalline ZnAu2Br at its relaxed geometry. Source: the Alexandria database, functional PBE-GGA.

The structure in POSCAR format:
```
ZnAu2Br
1.0
0.000 3.426 3.426
3.426 0.000 3.426
3.426 3.426 0.000
Zn Au Br
1 2 1
direct
0.000 0.000 0.000
0.250 0.250 0.250
0.750 0.750 0.750
0.500 0.500 0.500
```

Properties
**Calculated volume**: 20.10 Å³/atom
**Raw total energy**: -7.9 eV/f.u.
**Energy relative to the lowest polymorph listed for this composition**: 2.412 eV per formula unit

# 14
Crystalline Zn2AuBr at its relaxed geometry. Source: the Alexandria database, functional PBE-GGA.

The structure in POSCAR format:
```
Zn2AuBr
1.0
-1.869 1.869 6.500
1.869 -1.869 6.500
1.869 1.869 -6.500
Zn Au Br
2 1 1
direct
0.000 0.000 0.000
0.750 0.250 0.500
0.250 0.750 0.500
0.500 0.500 0.000
```

Properties
**Calculated volume**: 22.71 Å³/atom
**Raw total energy**: -7.4 eV/f.u.
**Energy relative to the lowest polymorph listed for this composition**: 1.074 eV per formula unit

# 15
Crystalline Zn5Au3Br12 at its relaxed geometry. Source: the Alexandria database, functional PBE-GGA.

The structure in POSCAR format:
```
Zn5Au3Br12
1.0
-8.213 8.213 8.213
8.213 -8.213 8.213
8.213 8.213 -8.213
Zn Au Br
20 12 48
direct
0.000 0.000 0.000
0.000 0.000 0.500
0.000 0.500 0.000
0.000 0.500 0.500
0.125 0.750 0.875
0.125 0.875 0.250
0.250 0.125 0.875
0.250 0.625 0.375
0.375 0.250 0.625
0.375 0.625 0.750
0.500 0.000 0.000
0.500 0.000 0.500
0.500 0.500 0.000
0.500 0.500 0.500
0.625 0.375 0.250
0.625 0.750 0.375
0.750 0.375 0.625
0.750 0.875 0.125
0.875 0.125 0.750
0.875 0.250 0.125
0.125 0.250 0.375
0.125 0.375 0.750
0.250 0.375 0.125
0.250 0.875 0.625
0.375 0.125 0.250
0.375 0.750 0.125
0.625 0.250 0.875
0.625 0.875 0.750
0.750 0.125 0.375
0.750 0.625 0.875
0.875 0.625 0.250
0.875 0.750 0.625
0.028 0.206 0.124
0.028 0.322 0.903
0.081 0.706 0.678
0.081 0.876 0.403
0.097 0.624 0.419
0.097 0.972 0.678
0.124 0.028 0.206
0.124 0.597 0.919
0.178 0.206 0.581
0.178 0.472 0.597
0.206 0.124 0.028
0.206 0.581 0.178
0.294 0.322 0.919
0.294 0.472 0.376
0.322 0.903 0.028
0.322 0.919 0.294
0.376 0.294 0.472
0.376 0.581 0.903
0.403 0.081 0.876
0.403 0.822 0.528
0.419 0.097 0.624
0.419 0.822 0.794
0.472 0.376 0.294
0.472 0.597 0.178
0.528 0.403 0.822
0.528 0.624 0.706
0.581 0.178 0.206
0.581 0.903 0.376
0.597 0.178 0.472
0.597 0.919 0.124
0.624 0.419 0.097
0.624 0.706 0.528
0.678 0.081 0.706
0.678 0.097 0.972
0.706 0.528 0.624
0.706 0.678 0.081
0.794 0.419 0.822
0.794 0.876 0.972
0.822 0.528 0.403
0.822 0.794 0.419
0.876 0.403 0.081
0.876 0.972 0.794
0.903 0.028 0.322
0.903 0.376 0.581
0.919 0.124 0.597
0.919 0.294 0.322
0.972 0.678 0.097
0.972 0.794 0.876
```

Properties
**Calculated volume**: 27.70 Å³/atom
**Raw total energy**: -43.8 eV/f.u.

# 16
Crystalline Zn2AuBr at its relaxed geometry. Source: the Alexandria database, functional PBE-GGA.

The structure in POSCAR format:
```
Zn2AuBr
1.0
3.999 -3.227 0.000
3.999 3.227 0.000
-1.180 0.000 3.285
Zn Au Br
2 1 1
direct
0.000 0.500 0.000
0.500 0.000 0.000
0.000 0.000 0.500
0.500 0.500 0.500
```

Properties
**Calculated volume**: 21.20 Å³/atom
**Raw total energy**: -7.3 eV/f.u.
**Energy relative to the lowest polymorph listed for this composition**: 1.183 eV per formula unit

# 17
Crystalline Zn2AuBr at its relaxed geometry. Source: the Alexandria database, functional PBE-GGA.

The structure in POSCAR format:
```
Zn2AuBr
1.0
1.787 -2.857 0.000
1.787 2.857 0.000
0.000 0.000 8.238
Zn Au Br
2 1 1
direct
0.000 0.000 0.000
0.500 0.500 0.233
0.500 0.500 0.778
0.000 0.000 0.456
```

Properties
**Calculated volume**: 21.03 Å³/atom
**Raw total energy**: -7.3 eV/f.u.
**Energy relative to the lowest polymorph listed for this composition**: 1.194 eV per formula unit

# 18
Crystalline ZnAu2Br at its relaxed geometry. Source: the Alexandria database, functional PBE-GGA.

The structure in POSCAR format:
```
ZnAu2Br
1.0
-1.442 3.102 4.814
1.442 -3.102 4.814
1.442 3.102 -4.814
Zn Au Br
1 2 1
direct
0.000 0.000 0.000
0.223 0.723 0.500
0.777 0.277 0.500
0.500 0.500 0.000
```

Properties
**Calculated volume**: 21.54 Å³/atom
**Raw total energy**: -9.3 eV/f.u.
**Energy relative to the lowest polymorph listed for this composition**: 1.042 eV per formula unit

# 19
Crystalline ZnAu2Br at its relaxed geometry. Source: the Alexandria database, functional PBE-GGA.

The structure in POSCAR format:
```
ZnAu2Br
1.0
1.632 0.942 8.621
-1.632 0.942 8.621
0.000 -1.885 8.621
Zn Au Br
1 2 1
direct
0.000 0.000 0.000
0.261 0.261 0.261
0.739 0.739 0.739
0.500 0.500 0.500
```

Properties
**Calculated volume**: 19.89 Å³/atom
**Raw total energy**: -9.1 eV/f.u.
**Energy relative to the lowest polymorph listed for this composition**: 1.184 eV per formula unit

# 20
Crystalline ZnAuBr2 at its relaxed geometry. Source: the Alexandria database, functional PBE-GGA.

The structure in POSCAR format:
```
ZnAuBr2
1.0
1.925 -3.839 0.000
1.925 3.839 0.000
0.000 0.000 7.723
Zn Au Br
1 1 2
direct
0.000 0.000 0.000
0.000 0.000 0.500
0.500 0.500 0.241
0.500 0.500 0.759
```

Properties
**Calculated volume**: 28.53 Å³/atom
**Raw total energy**: -7.9 eV/f.u.
**Energy relative to the lowest polymorph listed for this composition**: 1.030 eV per formula unit